# TaAs2Au (PBEsol, optimized geometry)
data_TaAs2Au
_chemical_formula_sum 'Ta1 As2 Au1'
_cell_length_a 3.5670
_cell_length_b 3.5670
_cell_length_c 5.4864
_cell_angle_alpha 90.00
_cell_angle_beta 90.00
_cell_angle_gamma 90.00
_symmetry_space_group_name_H-M 'P 1'
_symmetry_Int_Tables_number 1
loop_
_symmetry_equiv_pos_as_xyz
'x,y,z'
loop_
_atom_site_label
_atom_site_fract_x
_atom_site_fract_y
_atom_site_fract_z
Ta1 0.0000 0.0000 0.0000
As1 0.0000 0.0000 0.5290
As2 0.5000 0.5000 0.1673
Au1 0.5000 0.5000 0.6863
# crystal system	tetragonal
# symmetry	P4mm
# total moment	0.0	μB per cell
# total energy	-6.791	eV/atom